(1)
## SmNbPd (PBE-GGA)

Data for an optimized crystal structure of SmNbPd.

abc: 4.6855 4.6855 4.6855
angles: 60.00 60.00 60.00
Fractional positions:
Sm 0.7500 0.7500 0.7500
Nb 0.2500 0.2500 0.2500
Pd 0.0000 0.0000 0.0000

Results
symmetry: No. 216

=====

(2)
## SmNbPd (PBE-GGA)

Data for an optimized crystal structure of SmNbPd.

abc: 4.6906 4.6906 4.6906
angles: 60.00 60.00 60.00
Fractional positions:
Pd 0.7500 0.7500 0.7500
Nb 0.2500 0.2500 0.2500
Sm 0.0000 0.0000 0.0000

Results
symmetry: No. 216

=====

(3)
## Nb2SnPd (PBE-GGA)

Data for an optimized crystal structure of Nb2SnPd.

abc: 4.6936 4.6936 4.6936
angles: 60.00 60.00 60.00
Fractional positions:
Sn 0.5000 0.5000 0.5000
Nb 0.7500 0.7500 0.7500
Pd 0.2500 0.2500 0.2500
Nb 0.0000 0.0000 0.0000

Results
symmetry: No. 216

=====

| no. | total energy (eV per atom) |
| --- | --- |
| 1 | -6.395 |
| 2 | -5.767 |
| 3 | -7.332 |